Compound: BeCdMo2
Source: the Alexandria database
Functional: SCAN
Structure: single point on PBEsol structure

- DOS(E_F): 2.78 states/eV per cell
- Calculated formation energy: 98 kJ/mol of formula units

Cell lengths 3.2187, 4.3460, 8.4851 Å; angles 90.00, 90.00, 90.00 degrees
Space group Cmm2 (No. 35)
One atom of each set of equivalent atoms:
Be 0.0000 0.0000 0.0000 (multiplicity 2)
Cd 0.0000 0.5000 0.7548 (multiplicity 2)
Mo 0.0000 0.0000 0.4671 (multiplicity 2)
Mo 0.0000 0.5000 0.2132 (multiplicity 2)

Compound: K2AlCd
Source: the Alexandria database
Functional: SCAN
Structure: single point on PBEsol structure

- DOS(E_F): 19.12 states/eV per cell
- Calculated formation energy: 131 kJ/mol of formula units

Cell lengths 8.2097, 8.2097, 8.2097 Å; angles 90.00, 90.00, 90.00 degrees
Space group Fm-3m (No. 225)
One atom of each set of equivalent atoms:
K 0.2500 0.2500 0.2500 (multiplicity 8)
Al 0.0000 0.0000 0.0000 (multiplicity 4)
Cd 0.0000 0.0000 0.5000 (multiplicity 4)

Compound: KAgBr2
Source: the Alexandria database
Functional: SCAN
Structure: single point on PBEsol structure

- DOS(E_F): 0.00 states/eV per cell
- Energy relative to the elements, uncorrected: -1.12 eV per atom

Cell lengths 7.7612, 7.7612, 8.0364 Å; angles 90.00, 90.00, 90.00 degrees
Space group I-42d (No. 122)
One atom of each set of equivalent atoms:
K 0.0000 0.0000 0.0000 (multiplicity 4)
Ag 0.0000 0.0000 0.5000 (multiplicity 4)
Br 0.1940 0.2500 0.6250 (multiplicity 8)

> The lowest DOS(E_F) belongs to which entry?

KAgBr2